DFT (PBE) results for a relaxed K3CeY2Se6 crystal.

```
data_K3CeY2Se6
_cell_length_a 7.405
_cell_length_b 7.405
_cell_length_c 8.072
_cell_angle_alpha 98.80
_cell_angle_beta 98.80
_cell_angle_gamma 120.00
_space_group_name_H-M_alt 'P 1'
_space_group_IT_number 1
loop_
_space_group_symop_operation_xyz
'x,y,z'
loop_
_atom_site_label
_atom_site_type_symbol
_atom_site_fract_x
_atom_site_fract_y
_atom_site_fract_z
K1 K 0.166 0.834 0.500
K2 K 0.834 0.166 0.500
K3 K 0.500 0.500 0.500
Ce1 Ce 0.000 0.000 0.000
Y1 Y 0.333 0.667 0.000
Y2 Y 0.667 0.333 0.000
Se1 Se 0.931 0.590 0.793
Se2 Se 0.728 0.728 0.207
Se3 Se 0.069 0.410 0.207
Se4 Se 0.590 0.931 0.793
Se5 Se 0.272 0.272 0.793
Se6 Se 0.410 0.069 0.207
```

Values from the calculation:
E ... -5.3301 eV/atom
V ... 365 Å³ per cell
Formation energy without anion corrections ... -1.742 eV/atom